Record 1
Pm2Sn2Te7 | GGA-PBE | relaxed

Structure (POSCAR):
```
Pm2Sn2Te7
1.0
5.5712 -5.8212 0.0000
5.5712 5.8212 0.0000
0.0000 0.0000 6.3010
Pm Sn Te
2 2 7
direct
0.2461 0.2461 0.0000 Pm
0.7539 0.7539 0.0000 Pm
0.2447 0.7553 0.5000 Sn
0.7553 0.2447 0.5000 Sn
0.0000 0.0000 0.2463 Te
0.0000 0.0000 0.7537 Te
0.0000 0.5000 0.2457 Te
0.0000 0.5000 0.7543 Te
0.5000 0.0000 0.2457 Te
0.5000 0.0000 0.7543 Te
0.5000 0.5000 0.5000 Te
```

SG ... Cmmm (65)
Raw total energy ... -45.4 eV/cell


Record 2
Ho4Ge3Ir | GGA-PBE | relaxed

Structure (POSCAR):
```
Ho4Ge3Ir
1.0
4.0075 0.0000 0.0000
0.0000 4.1658 0.0000
0.0000 0.0000 10.7132
Ho Ge Ir
4 3 1
direct
0.0000 0.0000 0.0000 Ho
0.0000 0.5000 0.4843 Ho
0.5000 0.0000 0.7103 Ho
0.5000 0.5000 0.2155 Ho
0.0000 0.5000 0.7659 Ge
0.5000 0.0000 0.4334 Ge
0.5000 0.5000 0.9298 Ge
0.0000 0.0000 0.2715 Ir
```

SG ... Pmm2 (25)
Formation energy from the elements ... -0.854 eV per atom


Record 3
Ac2SnAs3Pd4 | GGA-PBE | relaxed

Structure (POSCAR):
```
Ac2SnAs3Pd4
1.0
4.4720 0.0000 0.0000
0.0000 4.4720 0.0000
0.0000 0.0000 10.8067
Ac Sn As Pd
2 1 3 4
direct
0.0000 0.5000 0.2348 Ac
0.5000 0.0000 0.7652 Ac
0.0000 0.0000 0.5000 Sn
0.0000 0.5000 0.8724 As
0.5000 0.0000 0.1276 As
0.5000 0.5000 0.5000 As
0.0000 0.0000 0.0000 Pd
0.0000 0.5000 0.6395 Pd
0.5000 0.0000 0.3605 Pd
0.5000 0.5000 0.0000 Pd
```

SG ... P-4m2 (115)
Formation energy from the elements ... -0.891 eV per atom


Record 4
Li2LaNd2Au2 | GGA-PBE | relaxed

Structure (POSCAR):
```
Li2LaNd2Au2
1.0
4.1193 0.0000 0.0000
-2.0596 3.5674 0.0000
0.0000 0.0000 13.4601
Li La Nd Au
2 1 2 2
direct
0.3333 0.6667 0.0361 Li
0.6667 0.3333 0.9639 Li
0.0000 0.0000 0.5000 La
0.0000 0.0000 0.2062 Nd
0.0000 0.0000 0.7938 Nd
0.3333 0.6667 0.3461 Au
0.6667 0.3333 0.6539 Au
```

SG ... P-3m1 (164)
Formation energy from the elements ... -0.303 eV per atom


Record 5
KS3Cl | GGA-PBE | relaxed

Structure (POSCAR):
```
KS3Cl
1.0
4.8834 0.0000 0.0000
0.0000 4.8834 0.0000
0.0000 0.0000 4.8834
K S Cl
1 3 1
direct
0.0000 0.0000 0.0000 K
0.0000 0.5000 0.5000 S
0.5000 0.0000 0.5000 S
0.5000 0.5000 0.0000 S
0.5000 0.5000 0.5000 Cl
```

Distance to the lowest polymorph of the same formula ... 1.036 eV/atom
SG ... Pm-3m (221)


Record 6
Ca2ZnFe | GGA-PBE | relaxed

Structure (POSCAR):
```
Ca2ZnFe
1.0
7.0600 0.0000 0.0000
0.0000 7.0600 0.0000
0.0000 0.0000 7.0600
Ca Zn Fe
8 4 4
direct
0.0000 0.0000 0.0000 Ca
0.0000 0.5000 0.5000 Ca
0.2500 0.2500 0.2500 Ca
0.2500 0.7500 0.7500 Ca
0.5000 0.0000 0.5000 Ca
0.5000 0.5000 0.0000 Ca
0.7500 0.2500 0.7500 Ca
0.7500 0.7500 0.2500 Ca
0.0000 0.0000 0.5000 Zn
0.0000 0.5000 0.0000 Zn
0.5000 0.0000 0.0000 Zn
0.5000 0.5000 0.5000 Zn
0.2500 0.2500 0.7500 Fe
0.2500 0.7500 0.2500 Fe
0.7500 0.2500 0.2500 Fe
0.7500 0.7500 0.7500 Fe
```

SG ... F-43m (216)
Formation energy from the elements ... 0.383 eV per atom


Record 7
Th6FeBi4 | GGA-PBE | relaxed

Structure (POSCAR):
```
Th6FeBi4
1.0
8.6144 0.0000 0.0000
0.0000 8.6144 0.0000
0.0000 0.0000 8.9645
Th Fe Bi
12 2 8
direct
0.0000 0.0000 0.2275 Th
0.0000 0.0000 0.7725 Th
0.1469 0.3122 0.5000 Th
0.1878 0.3531 0.0000 Th
0.3122 0.8531 0.5000 Th
0.3531 0.8122 0.0000 Th
0.5000 0.5000 0.2725 Th
0.5000 0.5000 0.7275 Th
0.6469 0.1878 0.0000 Th
0.6878 0.1469 0.5000 Th
0.8122 0.6469 0.0000 Th
0.8531 0.6878 0.5000 Th
0.0000 0.0000 0.5000 Fe
0.5000 0.5000 0.0000 Fe
0.1366 0.6366 0.2500 Bi
0.1366 0.6366 0.7500 Bi
0.3634 0.1366 0.2500 Bi
0.3634 0.1366 0.7500 Bi
0.6366 0.8634 0.2500 Bi
0.6366 0.8634 0.7500 Bi
0.8634 0.3634 0.2500 Bi
0.8634 0.3634 0.7500 Bi
```

SG ... P4/mnc (128)
Formation energy from the elements ... -0.484 eV per atom


Record 8
Th6Ge3AsP2 | GGA-PBE | relaxed

Structure (POSCAR):
```
Th6Ge3AsP2
1.0
9.2455 -2.1266 0.0000
9.2455 2.1266 0.0000
-1.8989 0.0000 8.2581
Th Ge As P
6 3 1 2
direct
0.0021 0.0021 0.2532 Th
0.3317 0.3317 0.4204 Th
0.3320 0.3320 0.9118 Th
0.6680 0.6680 0.0882 Th
0.6683 0.6683 0.5796 Th
0.9979 0.9979 0.7468 Th
0.1655 0.1655 0.8327 Ge
0.5000 0.5000 0.5000 Ge
0.8345 0.8345 0.1673 Ge
0.5000 0.5000 0.0000 As
0.1669 0.1669 0.3332 P
0.8331 0.8331 0.6668 P
```

SG ... C2/m (12)
Formation energy from the elements ... -1.130 eV per atom


Record 9
CrGa3Ni12 | GGA-PBE | relaxed

Structure (POSCAR):
```
CrGa3Ni12
1.0
3.5688 0.0000 0.0000
0.0000 3.5688 0.0000
0.0000 0.0000 14.2688
Cr Ga Ni
1 3 12
direct
0.0000 0.0000 0.0000 Cr
0.0000 0.0000 0.2501 Ga
0.0000 0.0000 0.5000 Ga
0.0000 0.0000 0.7499 Ga
0.0000 0.5000 0.1203 Ni
0.0000 0.5000 0.3741 Ni
0.0000 0.5000 0.6259 Ni
0.0000 0.5000 0.8797 Ni
0.5000 0.0000 0.1203 Ni
0.5000 0.0000 0.3741 Ni
0.5000 0.0000 0.6259 Ni
0.5000 0.0000 0.8797 Ni
0.5000 0.5000 0.0000 Ni
0.5000 0.5000 0.2473 Ni
0.5000 0.5000 0.5000 Ni
0.5000 0.5000 0.7527 Ni
```

SG ... P4/mmm (123)
Formation energy from the elements ... -0.234 eV per atom


Record 10
LiLaTa2 | GGA-PBE | relaxed

Structure (POSCAR):
```
LiLaTa2
1.0
2.9083 0.0000 0.0000
0.0000 2.9083 0.0000
0.0000 0.0000 9.5230
Li La Ta
1 1 2
direct
0.0000 0.0000 0.0000 Li
0.0000 0.0000 0.5000 La
0.5000 0.5000 0.2142 Ta
0.5000 0.5000 0.7858 Ta
```

Distance to the lowest polymorph of the same formula ... 0.318 eV/atom
SG ... P4/mmm (123)
Formation energy from the elements ... 0.661 eV per atom


Record 11
MnAl2W | GGA-PBE | relaxed

Structure (POSCAR):
```
MnAl2W
1.0
3.0363 0.0000 0.0000
0.0000 3.0363 0.0000
0.0000 0.0000 6.0287
Mn Al W
1 2 1
direct
0.0000 0.0000 0.0000 Mn
0.0000 0.0000 0.5066 Al
0.5000 0.5000 0.7800 Al
0.5000 0.5000 0.2404 W
```

Distance to the lowest polymorph of the same formula ... 0.000 eV/atom
SG ... P4mm (99)
Formation energy from the elements ... -0.170 eV per atom


Record 12
NdSm2Ge2 | GGA-PBE | relaxed

Structure (POSCAR):
```
NdSm2Ge2
1.0
7.8689 0.0000 0.0000
0.0000 7.8689 0.0000
0.0000 0.0000 4.2632
Nd Sm Ge
2 4 4
direct
0.0000 0.0000 0.0000 Nd
0.5000 0.5000 0.0000 Nd
0.1726 0.3274 0.5000 Sm
0.3274 0.8274 0.5000 Sm
0.6726 0.1726 0.5000 Sm
0.8274 0.6726 0.5000 Sm
0.1218 0.6218 0.0000 Ge
0.3782 0.1218 0.0000 Ge
0.6218 0.8782 0.0000 Ge
0.8782 0.3782 0.0000 Ge
```

Distance to the lowest polymorph of the same formula ... 0.000 eV/atom
SG ... P4/mbm (127)
Formation energy from the elements ... -0.732 eV per atom


> Which formula does entry 10 have?

LiLaTa2